{"formula": "BeHgTeO", "functional": "PBE-GGA", "state": "optimized geometry", "dft_energy_ev_per_atom": -3.0869, "spacegroup": "P4/nmm (129)", "lattice": [[-3.4470, 0.6230, -0.6656], [-0.8566, -3.1043, 1.5305], [-1.0503, 5.5170, 10.6025]], "species": ["Te", "Te", "Be", "Be", "O", "O", "Hg", "Hg"], "fractional_positions": [[0.2500, 0.2500, 0.1369], [0.7500, 0.7500, 0.8631], [0.2500, 0.7500, 0.0000], [0.7500, 0.2500, 0.0000], [0.7500, 0.7500, 0.6003], [0.2500, 0.2500, 0.3997], [0.7500, 0.7500, 0.4015], [0.2500, 0.2500, 0.5985]]}

{"formula": "SrScBeAu", "functional": "PBE-GGA", "state": "optimized geometry", "dft_energy_ev_per_atom": -3.7976, "spacegroup": "F-43m (216)", "lattice": [[0.0000, 3.5498, 3.5498], [3.5498, 0.0000, 3.5498], [3.5498, 3.5498, 0.0000]], "species": ["Sc", "Be", "Au", "Sr"], "fractional_positions": [[0.0000, 0.0000, 0.0000], [0.2500, 0.2500, 0.2500], [0.7500, 0.7500, 0.7500], [0.5000, 0.5000, 0.5000]]}